## CaHoMg2 (PBE)

Data for CaHoMg2 after structural relaxation.

E ... -2.3730 eV/atom
Formation energy from the elements ... 0.069 eV/atom
Space-group type ... R3m, No. 160

Unit cell a=3.5556 b=3.5556 c=33.0154 alpha=90.00 beta=90.00 gamma=120.00
Last column: nearest neighbours and their distance in Å.
Element x y z (fractional)
Ca1 0.0000 0.0000 0.0000  6 Mg 3.48-3.52, 6 Ca 3.56
Ca2 0.3333 0.6667 0.6667  6 Mg 3.48-3.52, 6 Ca 3.56
Ca3 0.6667 0.3333 0.3333  6 Mg 3.48-3.52, 6 Ca 3.56
Ho1 0.0000 0.0000 0.8320  6 Mg 3.36-3.38, 6 Ho 3.56
Ho2 0.3333 0.6667 0.4987  6 Mg 3.36-3.38, 6 Ho 3.56
Ho3 0.6667 0.3333 0.1653  6 Mg 3.36-3.38, 6 Ho 3.56
Mg1 0.0000 0.0000 0.4183  3 Ho 3.36, 3 Ca 3.48, 6 Mg 3.56
Mg2 0.0000 0.0000 0.5801  3 Ho 3.38, 3 Ca 3.52, 6 Mg 3.56
Mg3 0.3333 0.6667 0.0849  3 Ho 3.36, 3 Ca 3.48, 6 Mg 3.56
Mg4 0.3333 0.6667 0.2467  3 Ho 3.38, 3 Ca 3.52, 6 Mg 3.56
Mg5 0.6667 0.3333 0.7516  3 Ho 3.36, 3 Ca 3.48, 6 Mg 3.56
Mg6 0.6667 0.3333 0.9134  3 Ho 3.38, 3 Ca 3.52, 6 Mg 3.56


## Nd2AlGa2Ni5 (PBE)

Data for Nd2AlGa2Ni5 after structural relaxation.

E ... -5.1480 eV/atom
Formation energy from the elements ... -0.324 eV/atom
Space-group type ... P4/mbm, No. 127

Unit cell a=10.0283 b=10.0283 c=3.1932 alpha=90.00 beta=90.00 gamma=90.00
Last column: nearest neighbours and their distance in Å.
Element x y z (fractional)
Nd1 0.1759 0.3241 0.0000  3 Ga 2.83-3.06, 6 Ni 2.96-3.08
Nd2 0.3241 0.8241 0.0000  3 Ga 2.83-3.06, 6 Ni 2.96-3.08
Nd3 0.6759 0.1759 0.0000  3 Ga 2.83-3.06, 6 Ni 2.96-3.08
Nd4 0.8241 0.6759 0.0000  3 Ga 2.83-3.06, 6 Ni 2.96-3.08
Al1 0.0000 0.0000 0.0000  8 Ni 2.57
Al2 0.5000 0.5000 0.0000  8 Ni 2.57
Ga1 0.1248 0.6248 0.0000  6 Ni 2.38-2.52
Ga2 0.3752 0.1248 0.0000  6 Ni 2.38-2.52
Ga3 0.6248 0.8752 0.0000  6 Ni 2.38-2.52
Ga4 0.8752 0.3752 0.0000  6 Ni 2.38-2.52
Ni1 0.0000 0.5000 0.5000  4 Ga 2.38
Ni2 0.0521 0.8055 0.5000  2 Ga 2.52, 2 Al 2.57
Ni3 0.1945 0.0521 0.5000  2 Ga 2.52, 2 Al 2.57
Ni4 0.3055 0.5521 0.5000  2 Ga 2.52, 2 Al 2.57
Ni5 0.4479 0.3055 0.5000  2 Ga 2.52, 2 Al 2.57
Ni6 0.5000 0.0000 0.5000  4 Ga 2.38
Ni7 0.5521 0.6945 0.5000  2 Ga 2.52, 2 Al 2.57
Ni8 0.6945 0.4479 0.5000  2 Ga 2.52, 2 Al 2.57
Ni9 0.8055 0.9479 0.5000  2 Ga 2.52, 2 Al 2.57
Ni10 0.9479 0.1945 0.5000  2 Ga 2.52, 2 Al 2.57


## Er6Tm4Tl (PBE)

Data for Er6Tm4Tl after structural relaxation.

E ... -4.2492 eV/atom
Formation energy from the elements ... 0.081 eV/atom
Space-group type ... Cm, No. 8

Unit cell a=11.1615 b=11.1615 c=3.6115 alpha=99.29 beta=99.29 gamma=50.58
Last column: nearest neighbours and their distance in Å.
Element x y z (fractional)
Er1 0.0000 0.0000 0.0000  6 Er 3.45-3.61, 4 Tm 3.46-3.47
Er2 0.3266 0.8771 0.6021  5 Tm 3.41-3.47, 5 Er 3.45-3.61, 2 Tl 3.67-3.68
Er3 0.3428 0.3428 0.8429  4 Er 3.24-3.61, 6 Tm 3.30-3.34, 1 Tl 3.32
Er4 0.5830 0.9659 0.7750  4 Er 3.24-3.61, 2 Tm 3.38-3.39
Er5 0.8771 0.3266 0.6021  5 Tm 3.41-3.47, 5 Er 3.45-3.61, 2 Tl 3.67-3.68
Er6 0.9659 0.5830 0.7750  4 Er 3.24-3.61, 2 Tm 3.38-3.39
Tm1 0.2002 0.6566 0.4281  2 Tl 3.26, 7 Er 3.30-3.63, 2 Tm 3.61
Tm2 0.2011 0.2011 0.2014  6 Er 3.34-3.43, 2 Tm 3.61
Tm3 0.6566 0.2002 0.4281  2 Tl 3.26, 7 Er 3.30-3.63, 2 Tm 3.61
Tm4 0.6634 0.6634 0.1641  1 Tl 3.05, 8 Er 3.38-3.41
Tl1 0.5099 0.5099 0.0082  5 Tm 3.05-3.26, 1 Er 3.32


## Mg6NiHPb2 (PBE)

Data for Mg6NiHPb2 after structural relaxation.

E ... -2.5984 eV/atom
Space-group type ... C2/m, No. 12

Unit cell a=6.6646 b=6.6646 c=6.5684 alpha=119.45 beta=119.45 gamma=90.25
Last column: nearest neighbours and their distance in Å.
Element x y z (fractional)
Mg1 0.2364 0.2364 0.4789  1 H 2.26, 1 Ni 2.46
Mg2 0.2364 0.2364 0.9950  1 H 2.25, 1 Ni 2.46
Mg3 0.2397 0.7603 0.0000  1 H 2.26, 1 Ni 2.46
Mg4 0.7603 0.2397 0.0000  1 H 2.26, 1 Ni 2.46
Mg5 0.7636 0.7636 0.0050  1 H 2.25, 1 Ni 2.46
Mg6 0.7636 0.7636 0.5211  1 H 2.26, 1 Ni 2.46
Ni1 0.5000 0.5000 0.0000  6 Mg 2.46
H1 0.0000 0.0000 0.0000  6 Mg 2.25-2.26
Pb1 0.2544 0.7456 0.5000  12 Mg 3.29-3.37
Pb2 0.7456 0.2544 0.5000  12 Mg 3.29-3.37


## AgMo2Au2 (PBE)

Data for AgMo2Au2 after structural relaxation.

E ... -5.7430 eV/atom
Formation energy from the elements ... 0.471 eV/atom
Space-group type ... P4/mbm, No. 127

Unit cell a=8.1902 b=8.1902 c=2.7549 alpha=90.00 beta=90.00 gamma=90.00
Last column: nearest neighbours and their distance in Å.
Element x y z (fractional)
Ag1 0.0000 0.0000 0.0000  2 Ag 2.75
Ag2 0.5000 0.5000 0.0000  2 Ag 2.75
Mo1 0.1052 0.3948 0.0000  1 Mo 2.44
Mo2 0.3948 0.8948 0.0000  1 Mo 2.44
Mo3 0.6052 0.1052 0.0000  1 Mo 2.44
Mo4 0.8948 0.6052 0.0000  1 Mo 2.44
Au1 0.1869 0.6869 0.5000  2 Au 2.75, 6 Mo 2.77-2.84
Au2 0.3131 0.1869 0.5000  2 Au 2.75, 6 Mo 2.77-2.84
Au3 0.6869 0.8131 0.5000  2 Au 2.75, 6 Mo 2.77-2.84
Au4 0.8131 0.3131 0.5000  2 Au 2.75, 6 Mo 2.77-2.84


## Sn3Ir2S3 (PBE)

Data for Sn3Ir2S3 after structural relaxation.

E ... -5.7321 eV/atom
Raw formation energy ... -0.4680 eV per atom
Space-group type ... R-3, No. 148

Unit cell a=8.8147 b=8.8147 c=8.8147 alpha=89.91 beta=89.91 gamma=89.91
Last column: nearest neighbours and their distance in Å.
Element x y z (fractional)
Sn1 0.0024 0.1457 0.6613  2 Ir 2.58-2.62, 2 S 2.59-2.78
Sn2 0.1457 0.6613 0.0024  2 Ir 2.58-2.62, 2 S 2.59-2.78
Sn3 0.1623 0.4995 0.3552  2 Ir 2.59-2.60, 2 S 2.60-2.78
Sn4 0.3387 0.9976 0.8543  2 Ir 2.58-2.62, 2 S 2.59-2.78
Sn5 0.3552 0.1623 0.4995  2 Ir 2.59-2.60, 2 S 2.60-2.78
Sn6 0.4995 0.3552 0.1623  2 Ir 2.59-2.60, 2 S 2.60-2.78
Sn7 0.5005 0.6448 0.8377  2 Ir 2.59-2.60, 2 S 2.60-2.78
Sn8 0.6448 0.8377 0.5005  2 Ir 2.59-2.60, 2 S 2.60-2.78
Sn9 0.6613 0.0024 0.1457  2 Ir 2.58-2.62, 2 S 2.59-2.78
Sn10 0.8377 0.5005 0.6448  2 Ir 2.59-2.60, 2 S 2.60-2.78
Sn11 0.8543 0.3387 0.9976  2 Ir 2.58-2.62, 2 S 2.59-2.78
Sn12 0.9976 0.8543 0.3387  2 Ir 2.58-2.62, 2 S 2.59-2.78
Ir1 0.2401 0.2401 0.2401  3 S 2.45, 3 Sn 2.59
Ir2 0.2410 0.7427 0.7381  3 S 2.41-2.48, 3 Sn 2.58-2.62
Ir3 0.2573 0.2619 0.7590  3 S 2.41-2.48, 3 Sn 2.58-2.62
Ir4 0.2619 0.7590 0.2573  3 S 2.41-2.48, 3 Sn 2.58-2.62
Ir5 0.7381 0.2410 0.7427  3 S 2.41-2.48, 3 Sn 2.58-2.62
Ir6 0.7427 0.7381 0.2410  3 S 2.41-2.48, 3 Sn 2.58-2.62
Ir7 0.7590 0.2573 0.2619  3 S 2.41-2.48, 3 Sn 2.58-2.62
Ir8 0.7599 0.7599 0.7599  3 S 2.45, 3 Sn 2.59
S1 0.0006 0.1481 0.3461  2 Ir 2.45, 1 Sn 2.59
S2 0.1481 0.3461 0.0006  2 Ir 2.45, 1 Sn 2.59
S3 0.1527 0.4996 0.6495  2 Ir 2.41-2.48, 1 Sn 2.60
S4 0.3461 0.0006 0.1481  2 Ir 2.45, 1 Sn 2.59
S5 0.3505 0.8473 0.5004  2 Ir 2.41-2.48, 1 Sn 2.60
S6 0.5004 0.3505 0.8473  2 Ir 2.41-2.48, 1 Sn 2.60
S7 0.4996 0.6495 0.1527  2 Ir 2.41-2.48, 1 Sn 2.60
S8 0.6495 0.1527 0.4996  2 Ir 2.41-2.48, 1 Sn 2.60
S9 0.6539 0.9994 0.8519  2 Ir 2.45, 1 Sn 2.59
S10 0.8473 0.5004 0.3505  2 Ir 2.41-2.48, 1 Sn 2.60
S11 0.8519 0.6539 0.9994  2 Ir 2.45, 1 Sn 2.59
S12 0.9994 0.8519 0.6539  2 Ir 2.45, 1 Sn 2.59


## Cd2In4Pb3 (PBE)

Data for Cd2In4Pb3 after structural relaxation.

E ... -2.6188 eV/atom
Formation energy from the elements ... 0.038 eV/atom
Space-group type ... C2/m, No. 12

Unit cell a=8.5266 b=8.5266 c=8.7681 alpha=106.43 beta=106.43 gamma=24.40
Last column: nearest neighbours and their distance in Å.
Element x y z (fractional)
Cd1 0.1744 0.1744 0.0282  2 In 3.23, 4 Cd 3.25-3.60, 5 Pb 3.31-3.37
Cd2 0.8256 0.8256 0.9718  2 In 3.23, 4 Cd 3.25-3.60, 5 Pb 3.31-3.37
In1 0.0371 0.0371 0.3459  3 In 3.21-3.28, 6 Pb 3.36-3.55
In2 0.3038 0.3038 0.6562  4 In 3.21-3.34, 2 Cd 3.23, 3 Pb 3.40-3.51
In3 0.6962 0.6962 0.3438  4 In 3.21-3.34, 2 Cd 3.23, 3 Pb 3.40-3.51
In4 0.9629 0.9629 0.6541  3 In 3.21-3.28, 6 Pb 3.36-3.55
Pb1 0.3614 0.3614 0.3018  3 Cd 3.31-3.34, 7 In 3.36-3.55, 2 Pb 3.60
Pb2 0.5000 0.5000 0.0000  4 Cd 3.37, 6 In 3.43-3.75, 2 Pb 3.60
Pb3 0.6386 0.6386 0.6982  3 Cd 3.31-3.34, 7 In 3.36-3.55, 2 Pb 3.60


## NdDyZn2 (PBE)

Data for NdDyZn2 after structural relaxation.

E ... -3.2985 eV/atom
Formation energy from the elements ... -0.319 eV/atom
Space-group type ... Fm-3m, No. 225

Unit cell a=7.2558 b=7.2558 c=7.2558 alpha=90.00 beta=90.00 gamma=90.00
Last column: nearest neighbours and their distance in Å.
Element x y z (fractional)
Nd1 0.0000 0.0000 0.0000  8 Zn 3.14
Nd2 0.0000 0.5000 0.5000  8 Zn 3.14
Nd3 0.5000 0.0000 0.5000  8 Zn 3.14
Nd4 0.5000 0.5000 0.0000  8 Zn 3.14
Dy1 0.0000 0.0000 0.5000  8 Zn 3.14
Dy2 0.0000 0.5000 0.0000  8 Zn 3.14
Dy3 0.5000 0.0000 0.0000  8 Zn 3.14
Dy4 0.5000 0.5000 0.5000  8 Zn 3.14
Zn1 0.2500 0.2500 0.2500  4 Dy 3.14, 4 Nd 3.14
Zn2 0.2500 0.2500 0.7500  4 Dy 3.14, 4 Nd 3.14
Zn3 0.2500 0.7500 0.2500  4 Dy 3.14, 4 Nd 3.14
Zn4 0.2500 0.7500 0.7500  4 Dy 3.14, 4 Nd 3.14
Zn5 0.7500 0.2500 0.2500  4 Dy 3.14, 4 Nd 3.14
Zn6 0.7500 0.2500 0.7500  4 Dy 3.14, 4 Nd 3.14
Zn7 0.7500 0.7500 0.2500  4 Dy 3.14, 4 Nd 3.14
Zn8 0.7500 0.7500 0.7500  4 Nd 3.14, 4 Dy 3.14